# LaFe2Ni | Alexandria | PBE | optimized geometry
# - D(E_F): 1.507 states/eV/atom
# - Energy relative to the elements: 0.43 eV/atom
# - Total magnetic moment: 18.085 Bohr magnetons per cell
data_LaFe2Ni
_space_group_name_H-M_alt 'F m -3 m'
_space_group_IT_number 225
_space_group_name_Hall '-F 4 2 3'
_cell_length_a 6.330
_cell_length_b 6.330
_cell_length_c 6.330
_cell_angle_alpha 90.00
_cell_angle_beta 90.00
_cell_angle_gamma 90.00
loop_
_atom_site_label
_atom_site_type_symbol
_atom_site_fract_x
_atom_site_fract_y
_atom_site_fract_z
_atom_site_occupancy
La1 La 0.000 0.000 0.000 1
Fe1 Fe 0.250 0.250 0.250 1
Ni1 Ni 0.000 0.000 0.500 1